VASP calculation (PBE-GGA) on a geometry-optimized Ho6BiPd2 structure.

Crystal system = orthorhombic
Calculated formation energy = -5.15 eV per formula unit
Theoretical density = 9.567 g/cm3

Cell lengths 8.6207, 8.6207, 8.6207 Å; angles 114.05, 109.73, 104.77 degrees
Element x y z (fractional)
Ho (0.0284, 0.2337, 0.7947)
Ho (0.1827, 0.2919, 0.4747)
Ho (0.1827, 0.7081, 0.8908)
Ho (0.3270, 0.0212, 0.6942)
Ho (0.3270, 0.6328, 0.3058)
Ho (0.4389, 0.2337, 0.2053)
Ho (0.5611, 0.7663, 0.7947)
Ho (0.6730, 0.3672, 0.6942)
Ho (0.6730, 0.9788, 0.3058)
Ho (0.8173, 0.2919, 0.1092)
Ho (0.8173, 0.7081, 0.5253)
Ho (0.9716, 0.7663, 0.2053)
Bi (0.0000, 0.0000, 0.0000)
Bi (0.5000, 0.5000, 0.0000)
Pd (0.1315, 0.6315, 0.5000)
Pd (0.3464, 0.0000, 0.3464)
Pd (0.6536, 0.0000, 0.6536)
Pd (0.8685, 0.3685, 0.5000)

---

VASP calculation (PBE-GGA) on a geometry-optimized Ho2BiPd6 structure.

Crystal system = monoclinic
Calculated formation energy = -4.92 eV per formula unit
Theoretical density = 10.807 g/cm3

Cell lengths 8.0253, 8.0253, 3.4001 Å; angles 90.08, 90.08, 55.70 degrees
Element x y z (fractional)
Ho (0.1936, 0.1936, 0.9998)
Ho (0.8064, 0.8064, 0.0002)
Bi (0.5000, 0.5000, 0.5000)
Pd (0.1413, 0.5392, 0.4998)
Pd (0.1857, 0.8143, 0.0000)
Pd (0.4608, 0.8587, 0.5002)
Pd (0.5392, 0.1413, 0.4998)
Pd (0.8143, 0.1857, 0.0000)
Pd (0.8587, 0.4608, 0.5002)

---

VASP calculation (PBE-GGA) on a geometry-optimized Ho2BiPd2 structure.

Crystal system = tetragonal
Calculated formation energy = -4.40 eV per formula unit
Theoretical density = 10.956 g/cm3

Cell lengths 7.8873, 7.8873, 3.6626 Å; angles 90.00, 90.00, 90.00 degrees
Element x y z (fractional)
Ho (0.1692, 0.3308, 0.0000)
Ho (0.3308, 0.8308, 0.0000)
Ho (0.6692, 0.1692, 0.0000)
Ho (0.8308, 0.6692, 0.0000)
Bi (0.0000, 0.0000, 0.5000)
Bi (0.5000, 0.5000, 0.5000)
Pd (0.1252, 0.6252, 0.5000)
Pd (0.3748, 0.1252, 0.5000)
Pd (0.6252, 0.8748, 0.5000)
Pd (0.8748, 0.3748, 0.5000)

---

VASP calculation (PBE-GGA) on a geometry-optimized Ho2BiPd structure.

Polymorph energy (0 for the lowest one) = 8 meV per atom
Crystal system = trigonal
Calculated formation energy = -2.76 eV per formula unit
Theoretical density = 9.665 g/cm3

Cell lengths 4.3309, 4.3309, 20.4747 Å; angles 90.00, 90.00, 120.00 degrees
Element x y z (fractional)
Ho (0.0000, 0.0000, 0.2394)
Ho (0.0000, 0.0000, 0.7606)
Ho (0.3333, 0.6667, 0.4273)
Ho (0.3333, 0.6667, 0.9061)
Ho (0.6667, 0.3333, 0.0939)
Ho (0.6667, 0.3333, 0.5727)
Bi (0.0000, 0.0000, 0.0000)
Bi (0.3333, 0.6667, 0.6667)
Bi (0.6667, 0.3333, 0.3333)
Pd (0.0000, 0.0000, 0.5000)
Pd (0.3333, 0.6667, 0.1667)
Pd (0.6667, 0.3333, 0.8333)

---

VASP calculation (PBE-GGA) on a geometry-optimized Ho5BiPd2 structure.

Crystal system = tetragonal
Calculated formation energy = -5.59 eV per formula unit
Theoretical density = 9.943 g/cm3

Cell lengths 8.7910, 8.7910, 8.7910 Å; angles 127.34, 127.34, 77.70 degrees
Element x y z (fractional)
Ho (0.0000, 0.0000, 0.0000)
Ho (0.0145, 0.5145, 0.8094)
Ho (0.2052, 0.0145, 0.5000)
Ho (0.2948, 0.7948, 0.8094)
Ho (0.4855, 0.2948, 0.5000)
Ho (0.5000, 0.5000, 0.0000)
Ho (0.5145, 0.7052, 0.5000)
Ho (0.7052, 0.2052, 0.1906)
Ho (0.7948, 0.9855, 0.5000)
Ho (0.9855, 0.4855, 0.1906)
Bi (0.2500, 0.2500, 0.0000)
Bi (0.7500, 0.7500, 0.0000)
Pd (0.1372, 0.3628, 0.5000)
Pd (0.3628, 0.8628, 0.2256)
Pd (0.6372, 0.1372, 0.7744)
Pd (0.8628, 0.6372, 0.5000)

---

VASP calculation (PBE-GGA) on a geometry-optimized HoBiPd4 structure.

Polymorph energy (0 for the lowest one) = 30 meV per atom
Crystal system = cubic
Calculated formation energy = -3.20 eV per formula unit
Theoretical density = 11.655 g/cm3

Cell lengths 5.4413, 5.4413, 5.4413 Å; angles 60.00, 60.00, 60.00 degrees
Element x y z (fractional)
Ho (0.0000, 0.0000, 0.0000)
Bi (0.2500, 0.2500, 0.2500)
Pd (0.1234, 0.6255, 0.6255)
Pd (0.6255, 0.1234, 0.6255)
Pd (0.6255, 0.6255, 0.1234)
Pd (0.6255, 0.6255, 0.6255)

---

VASP calculation (PBE-GGA) on a geometry-optimized PmHoBiPd structure.

Crystal system = cubic
Calculated formation energy = -2.56 eV per formula unit
Theoretical density = 10.002 g/cm3

Cell lengths 7.4605, 7.4605, 7.4605 Å; angles 90.00, 90.00, 90.00 degrees
Element x y z (fractional)
Pm (0.0000, 0.0000, 0.0000)
Pm (0.0000, 0.5000, 0.5000)
Pm (0.5000, 0.0000, 0.5000)
Pm (0.5000, 0.5000, 0.0000)
Ho (0.0000, 0.0000, 0.5000)
Ho (0.0000, 0.5000, 0.0000)
Ho (0.5000, 0.0000, 0.0000)
Ho (0.5000, 0.5000, 0.5000)
Bi (0.2500, 0.2500, 0.2500)
Bi (0.2500, 0.7500, 0.7500)
Bi (0.7500, 0.2500, 0.7500)
Bi (0.7500, 0.7500, 0.2500)
Pd (0.2500, 0.2500, 0.7500)
Pd (0.2500, 0.7500, 0.2500)
Pd (0.7500, 0.2500, 0.2500)
Pd (0.7500, 0.7500, 0.7500)

---

VASP calculation (PBE-GGA) on a geometry-optimized HoBiPdPt structure.

Crystal system = cubic
Calculated formation energy = -3.02 eV per formula unit
Theoretical density = 13.417 g/cm3

Cell lengths 6.9407, 6.9407, 6.9407 Å; angles 90.00, 90.00, 90.00 degrees
Element x y z (fractional)
Ho (0.0000, 0.0000, 0.0000)
Ho (0.0000, 0.5000, 0.5000)
Ho (0.5000, 0.0000, 0.5000)
Ho (0.5000, 0.5000, 0.0000)
Bi (0.0000, 0.0000, 0.5000)
Bi (0.0000, 0.5000, 0.0000)
Bi (0.5000, 0.0000, 0.0000)
Bi (0.5000, 0.5000, 0.5000)
Pd (0.2500, 0.2500, 0.7500)
Pd (0.2500, 0.7500, 0.2500)
Pd (0.7500, 0.2500, 0.2500)
Pd (0.7500, 0.7500, 0.7500)
Pt (0.2500, 0.2500, 0.2500)
Pt (0.2500, 0.7500, 0.7500)
Pt (0.7500, 0.2500, 0.7500)
Pt (0.7500, 0.7500, 0.2500)

---

VASP calculation (PBE-GGA) on a geometry-optimized HoBiPdRh structure.

Crystal system = cubic
Calculated formation energy = -2.52 eV per formula unit
Theoretical density = 12.024 g/cm3

Cell lengths 6.8554, 6.8554, 6.8554 Å; angles 90.00, 90.00, 90.00 degrees
Element x y z (fractional)
Ho (0.0000, 0.0000, 0.0000)
Ho (0.0000, 0.5000, 0.5000)
Ho (0.5000, 0.0000, 0.5000)
Ho (0.5000, 0.5000, 0.0000)
Bi (0.0000, 0.0000, 0.5000)
Bi (0.0000, 0.5000, 0.0000)
Bi (0.5000, 0.0000, 0.0000)
Bi (0.5000, 0.5000, 0.5000)
Pd (0.2500, 0.2500, 0.7500)
Pd (0.2500, 0.7500, 0.2500)
Pd (0.7500, 0.2500, 0.2500)
Pd (0.7500, 0.7500, 0.7500)
Rh (0.2500, 0.2500, 0.2500)
Rh (0.2500, 0.7500, 0.7500)
Rh (0.7500, 0.2500, 0.7500)
Rh (0.7500, 0.7500, 0.2500)

---

VASP calculation (PBE-GGA) on a geometry-optimized HoBi2Sb2Pd7 structure.

Crystal system = monoclinic
Theoretical density = 10.195 g/cm3
Formation energy without anion corrections = -0.4844 eV per atom

Cell lengths 4.1110, 4.1110, 15.2389 Å; angles 94.53, 94.53, 89.97 degrees
Element x y z (fractional)
Ho (0.0000, 0.0000, 0.0000)
Bi (0.1286, 0.1286, 0.4061)
Bi (0.8714, 0.8714, 0.5939)
Sb (0.4277, 0.4277, 0.7513)
Sb (0.5723, 0.5723, 0.2487)
Pd (0.0403, 0.5409, 0.1378)
Pd (0.3641, 0.3641, 0.5763)
Pd (0.4591, 0.9597, 0.8622)
Pd (0.5000, 0.5000, 0.0000)
Pd (0.5409, 0.0403, 0.1378)
Pd (0.6359, 0.6359, 0.4237)
Pd (0.9597, 0.4591, 0.8622)

---

VASP calculation (PBE-GGA) on a geometry-optimized PmHoBi structure.

Polymorph energy (0 for the lowest one) = 339 meV per atom
Crystal system = trigonal
Calculated formation energy = -0.85 eV per formula unit
Theoretical density = 8.955 g/cm3

Cell lengths 5.2238, 5.2238, 4.0716 Å; angles 90.00, 90.00, 120.00 degrees
Element x y z (fractional)
Pm (0.0000, 0.0000, 0.0000)
Ho (0.3333, 0.6667, 0.4711)
Bi (0.6667, 0.3333, 0.6408)

---

VASP calculation (PBE-GGA) on a geometry-optimized PmHoBi structure.

Polymorph energy (0 for the lowest one) = 255 meV per atom
Crystal system = monoclinic
Calculated formation energy = -1.10 eV per formula unit
Theoretical density = 8.740 g/cm3

Cell lengths 11.8066, 4.1442, 8.9131 Å; angles 90.00, 115.28, 90.00 degrees
Element x y z (fractional)
Pm (0.1625, 0.0000, 0.1314)
Pm (0.3375, 0.5000, 0.8686)
Pm (0.6625, 0.5000, 0.1314)
Pm (0.8375, 0.0000, 0.8686)
Ho (0.1149, 0.5000, 0.4377)
Ho (0.3851, 0.0000, 0.5623)
Ho (0.6149, 0.0000, 0.4377)
Ho (0.8851, 0.5000, 0.5623)
Bi (0.1084, 0.0000, 0.7434)
Bi (0.3916, 0.5000, 0.2566)
Bi (0.6084, 0.5000, 0.7434)
Bi (0.8916, 0.0000, 0.2566)

---

VASP calculation (PBE-GGA) on a geometry-optimized PmHo5Bi6 structure.

Crystal system = monoclinic
Calculated formation energy = -10.22 eV per formula unit
Theoretical density = 9.667 g/cm3

Cell lengths 7.7633, 7.7633, 7.7630 Å; angles 99.61, 99.61, 120.00 degrees
Element x y z (fractional)
Pm (0.0000, 0.0000, 0.0000)
Ho (0.1643, 0.8357, 0.5000)
Ho (0.3324, 0.6676, 0.0000)
Ho (0.5000, 0.5000, 0.5000)
Ho (0.6676, 0.3324, 0.0000)
Ho (0.8357, 0.1643, 0.5000)
Bi (0.0848, 0.4226, 0.2535)
Bi (0.2547, 0.2547, 0.7490)
Bi (0.4226, 0.0848, 0.2535)
Bi (0.5774, 0.9152, 0.7465)
Bi (0.7453, 0.7453, 0.2510)
Bi (0.9152, 0.5774, 0.7465)

---

VASP calculation (PBE-GGA) on a geometry-optimized Pm5HoBi6 structure.

Crystal system = monoclinic
Calculated formation energy = -11.05 eV per formula unit
Theoretical density = 8.853 g/cm3

Cell lengths 7.8986, 7.8986, 7.8954 Å; angles 99.60, 99.60, 120.01 degrees
Element x y z (fractional)
Pm (0.0000, 0.0000, 0.0000)
Pm (0.1659, 0.8341, 0.5000)
Pm (0.3312, 0.6688, 0.0000)
Pm (0.6688, 0.3312, 0.0000)
Pm (0.8341, 0.1659, 0.5000)
Ho (0.5000, 0.5000, 0.5000)
Bi (0.0890, 0.4181, 0.2534)
Bi (0.2544, 0.2544, 0.7489)
Bi (0.4181, 0.0890, 0.2534)
Bi (0.5819, 0.9110, 0.7466)
Bi (0.7456, 0.7456, 0.2511)
Bi (0.9110, 0.5819, 0.7466)

---

VASP calculation (PBE-GGA) on a geometry-optimized Pm5Ho2Bi4 structure.

Crystal system = monoclinic
Calculated formation energy = -4.41 eV per formula unit
Theoretical density = 7.991 g/cm3

Cell lengths 11.5266, 11.5266, 8.4641 Å; angles 106.57, 106.57, 21.41 degrees
Element x y z (fractional)
Pm (0.0000, 0.0000, 0.0000)
Pm (0.3264, 0.3264, 0.0143)
Pm (0.4010, 0.4010, 0.5313)
Pm (0.5990, 0.5990, 0.4687)
Pm (0.6736, 0.6736, 0.9857)
Ho (0.2089, 0.2089, 0.3428)
Ho (0.7911, 0.7911, 0.6572)
Bi (0.1929, 0.1929, 0.7123)
Bi (0.4639, 0.4639, 0.2376)
Bi (0.5361, 0.5361, 0.7624)
Bi (0.8071, 0.8071, 0.2877)

---

VASP calculation (PBE-GGA) on a geometry-optimized Pm5HoBi4 structure.

Crystal system = monoclinic
Calculated formation energy = -5.41 eV per formula unit
Theoretical density = 7.911 g/cm3

Cell lengths 9.9364, 9.9364, 8.7034 Å; angles 105.35, 105.35, 25.98 degrees
Element x y z (fractional)
Pm (0.0000, 0.0000, 0.0000)
Pm (0.3217, 0.3217, 0.1481)
Pm (0.3360, 0.3360, 0.6816)
Pm (0.6640, 0.6640, 0.3184)
Pm (0.6783, 0.6783, 0.8519)
Ho (0.0000, 0.0000, 0.5000)
Bi (0.1672, 0.1672, 0.5837)
Bi (0.4920, 0.4920, 0.2481)
Bi (0.5080, 0.5080, 0.7519)
Bi (0.8328, 0.8328, 0.4163)

---

VASP calculation (PBE-GGA) on a geometry-optimized PmHo2Bi3 structure.

Crystal system = orthorhombic
Calculated formation energy = -5.20 eV per formula unit
Theoretical density = 9.456 g/cm3

Cell lengths 4.5018, 6.3672, 13.5009 Å; angles 90.00, 90.00, 90.00 degrees
Element x y z (fractional)
Pm (0.0000, 0.0000, 0.0000)
Pm (0.5000, 0.5000, 0.5000)
Ho (0.0000, 0.0000, 0.3348)
Ho (0.0000, 0.0000, 0.6652)
Ho (0.5000, 0.5000, 0.1652)
Ho (0.5000, 0.5000, 0.8348)
Bi (0.0000, 0.5000, 0.0000)
Bi (0.0000, 0.5000, 0.3289)
Bi (0.0000, 0.5000, 0.6711)
Bi (0.5000, 0.0000, 0.1711)
Bi (0.5000, 0.0000, 0.5000)
Bi (0.5000, 0.0000, 0.8289)

---

VASP calculation (PBE-GGA) on a geometry-optimized PmHoBi structure.

Polymorph energy (0 for the lowest one) = 148 meV per atom
Crystal system = tetragonal
Calculated formation energy = -1.42 eV per formula unit
Theoretical density = 9.460 g/cm3

Cell lengths 4.0982, 4.0982, 10.8470 Å; angles 90.00, 90.00, 90.00 degrees
Element x y z (fractional)
Pm (0.0000, 0.0000, 0.0000)
Pm (0.5000, 0.5000, 0.5000)
Ho (0.0000, 0.0000, 0.6876)
Ho (0.5000, 0.5000, 0.1876)
Bi (0.0000, 0.0000, 0.3364)
Bi (0.5000, 0.5000, 0.8364)

---

VASP calculation (PBE-GGA) on a geometry-optimized PmHo4Bi2 structure.

Crystal system = monoclinic
Calculated formation energy = -2.68 eV per formula unit
Theoretical density = 9.471 g/cm3

Cell lengths 8.0540, 6.5538, 8.8741 Å; angles 90.00, 113.75, 90.00 degrees
Element x y z (fractional)
Pm (0.1015, 0.2500, 0.3587)
Pm (0.8985, 0.7500, 0.6413)
Ho (0.1949, 0.7500, 0.0794)
Ho (0.3409, 0.0047, 0.7871)
Ho (0.3409, 0.4953, 0.7871)
Ho (0.4608, 0.7500, 0.5060)
Ho (0.5392, 0.2500, 0.4940)
Ho (0.6591, 0.5047, 0.2129)
Ho (0.6591, 0.9953, 0.2129)
Ho (0.8051, 0.2500, 0.9206)
Bi (0.0480, 0.7500, 0.3643)
Bi (0.2704, 0.2500, 0.0853)
Bi (0.7296, 0.7500, 0.9147)
Bi (0.9520, 0.2500, 0.6357)

---

VASP calculation (PBE-GGA) on a geometry-optimized Pm2Ho2Bi5 structure.

Crystal system = orthorhombic
Calculated formation energy = -5.98 eV per formula unit
Theoretical density = 9.704 g/cm3

Cell lengths 9.0940, 9.0940, 8.4919 Å; angles 90.00, 90.00, 54.22 degrees
Element x y z (fractional)
Pm (0.1928, 0.1928, 0.0000)
Pm (0.3072, 0.3072, 0.5000)
Pm (0.6928, 0.6928, 0.5000)
Pm (0.8072, 0.8072, 0.0000)
Ho (0.1542, 0.8458, 0.6585)
Ho (0.3458, 0.6542, 0.1585)
Ho (0.6542, 0.3458, 0.8415)
Ho (0.8458, 0.1542, 0.3415)
Bi (0.0000, 0.0000, 0.0000)
Bi (0.0128, 0.7120, 0.3500)
Bi (0.2120, 0.5128, 0.8500)
Bi (0.2880, 0.9872, 0.3500)
Bi (0.4872, 0.7880, 0.8500)
Bi (0.5000, 0.5000, 0.5000)
Bi (0.5128, 0.2120, 0.1500)
Bi (0.7120, 0.0128, 0.6500)
Bi (0.7880, 0.4872, 0.1500)
Bi (0.9872, 0.2880, 0.6500)

---

VASP calculation (PBE-GGA) on a geometry-optimized Pm3Ho4Bi4 structure.

Crystal system = orthorhombic
Calculated formation energy = -5.59 eV per formula unit
Theoretical density = 9.085 g/cm3

Cell lengths 11.4400, 7.4183, 7.4183 Å; angles 34.09, 90.00, 90.00 degrees
Element x y z (fractional)
Pm (0.0000, 0.0000, 0.0000)
Pm (0.3513, 0.0762, 0.0762)
Pm (0.6487, 0.0762, 0.0762)
Ho (0.0000, 0.3022, 0.3022)
Ho (0.2424, 0.7757, 0.7757)
Ho (0.5000, 0.3760, 0.3760)
Ho (0.7576, 0.7757, 0.7757)
Bi (0.0000, 0.6567, 0.6567)
Bi (0.2188, 0.4401, 0.4401)
Bi (0.5000, 0.7044, 0.7044)
Bi (0.7812, 0.4401, 0.4401)

---

VASP calculation (PBE-GGA) on a geometry-optimized Pm3HoBi3 structure.

Polymorph energy (0 for the lowest one) = 87 meV per atom
Crystal system = trigonal
Calculated formation energy = -4.92 eV per formula unit
Theoretical density = 8.551 g/cm3

Cell lengths 8.3445, 8.3445, 8.3445 Å; angles 67.49, 67.49, 67.49 degrees
Element x y z (fractional)
Pm (0.0875, 0.3413, 0.8243)
Pm (0.1757, 0.9125, 0.6587)
Pm (0.3413, 0.8243, 0.0875)
Pm (0.6587, 0.1757, 0.9125)
Pm (0.8243, 0.0875, 0.3413)
Pm (0.9125, 0.6587, 0.1757)
Ho (0.3328, 0.3328, 0.3328)
Ho (0.6672, 0.6672, 0.6672)
Bi (0.0784, 0.6916, 0.4743)
Bi (0.3084, 0.5257, 0.9216)
Bi (0.4743, 0.0784, 0.6916)
Bi (0.5257, 0.9216, 0.3084)
Bi (0.6916, 0.4743, 0.0784)
Bi (0.9216, 0.3084, 0.5257)

---

VASP calculation (PBE-GGA) on a geometry-optimized PmHo5Bi4 structure.

Crystal system = monoclinic
Calculated formation energy = -5.54 eV per formula unit
Theoretical density = 8.999 g/cm3

Cell lengths 10.1963, 10.1963, 7.7408 Å; angles 101.39, 101.39, 25.01 degrees
Element x y z (fractional)
Pm (0.0000, 0.0000, 0.0000)
Ho (0.0000, 0.0000, 0.5000)
Ho (0.3039, 0.3039, 0.3883)
Ho (0.3115, 0.3115, 0.9139)
Ho (0.6885, 0.6885, 0.0861)
Ho (0.6961, 0.6961, 0.6117)
Bi (0.1362, 0.1362, 0.3274)
Bi (0.4361, 0.4361, 0.2254)
Bi (0.5639, 0.5639, 0.7746)
Bi (0.8638, 0.8638, 0.6726)